1.
Entry from Alexandria: crystalline MnIrSN2 at its relaxed geometry (GGA-PBE).

## Properties
**Symmetry**: P4/mmm, No. 123
**Volume**: 12.5 A^3/atom
**E_tot**: -6.77 eV/atom
**Distance to the lowest polymorph of the same formula**: 261.6 meV per atom
**Formation energy without anion corrections**: 4.937 eV per formula unit

Cell and atoms, written as POSCAR:
```
MnIrSN2
1.0
3.531 0.000 0.000
0.000 3.531 0.000
0.000 0.000 5.028
Mn Ir S N
1 1 1 2
direct
0.000 0.000 0.000
0.500 0.500 0.500
0.000 0.000 0.500
0.000 0.500 0.000
0.500 0.000 0.000
```


2.
Entry from Alexandria: crystalline PmZn4Sn at its relaxed geometry (GGA-PBE).

## Properties
**Symmetry**: F-43m, No. 216
**Volume**: 19.9 A^3/atom
**ΔE_f**: -96 kJ/mol of formula units
**E_tot**: -2.47 eV/atom

Cell and atoms, written as POSCAR:
```
PmZn4Sn
1.0
0.000 3.910 3.910
3.910 0.000 3.910
3.910 3.910 0.000
Pm Zn Sn
1 4 1
direct
0.000 0.000 0.000
0.125 0.625 0.625
0.625 0.125 0.625
0.625 0.625 0.125
0.625 0.625 0.625
0.250 0.250 0.250
```


3.
Entry from Alexandria: crystalline ScVH2 at its relaxed geometry (GGA-PBE).

## Properties
**Symmetry**: R-3m, No. 166
**Volume**: 9.5 A^3/atom
**E_tot**: -5.70 eV/atom
**Distance to the lowest polymorph of the same formula**: 55.9 meV per atom

Cell and atoms, written as POSCAR:
```
ScVH2
1.0
3.001 0.000 0.000
-1.501 2.599 0.000
0.000 0.000 14.576
Sc V H
3 3 6
direct
0.000 0.000 0.000
0.333 0.667 0.667
0.667 0.333 0.333
0.000 0.000 0.500
0.333 0.667 0.167
0.667 0.333 0.833
0.000 0.000 0.230
0.000 0.000 0.770
0.333 0.667 0.436
0.333 0.667 0.897
0.667 0.333 0.103
0.667 0.333 0.564
```


4.
Entry from Alexandria: crystalline ScTl2Ni at its relaxed geometry (GGA-PBE).

## Properties
**Symmetry**: R-3m, No. 166
**Volume**: 21.8 A^3/atom
**ΔE_f**: 37 kJ/mol of formula units
**E_tot**: -4.12 eV/atom

Cell and atoms, written as POSCAR:
```
ScTl2Ni
1.0
3.519 0.000 0.000
-1.760 3.048 0.000
0.000 0.000 24.403
Sc Tl Ni
3 6 3
direct
0.000 0.000 0.000
0.333 0.667 0.667
0.667 0.333 0.333
0.000 0.000 0.238
0.000 0.000 0.762
0.333 0.667 0.429
0.333 0.667 0.905
0.667 0.333 0.095
0.667 0.333 0.571
0.000 0.000 0.500
0.333 0.667 0.167
0.667 0.333 0.833
```


Which value of E_tot does entry 4 give? -4.12 eV/atom


Look up the volume of the fourth one. 21.8 A^3/atom